This record from the Alexandria database describes a relaxed KPm2Rh crystal. The functional is PBE-GGA.

Values from the calculation:
crystal system	trigonal
ΔH_f (0 K)	-0.261	eV/atom
space-group type	R-3m (166)
calculated density	4.3	Mg/m³

a = 4.1395 Å, b = 4.1395 Å, c = 11.4739 Å
α = 79.61°, β = 79.61°, γ = 60.00°
With the nearest neighbours (Å) after each atom.
Element x y z (fractional)
Pm 0.1228 0.1228 0.6317  3 Rh 2.81
Pm 0.8772 0.8772 0.3683  3 Rh 2.81
K 0.0000 0.0000 0.0000  2 Pm 4.13, 6 K 4.14
Rh 0.5000 0.5000 0.5000  6 Pm 2.81